Entry 1:
Material: Be2GaRh2
Method: DFT, PBE
State: optimized geometry

```
Be2GaRh2
1.0
-5.3920 -0.8389 3.2493
-0.1155 -6.0993 -1.7664
1.5060 -0.7000 2.3185
Be Rh Ga
4 4 2
direct
0.3786 0.8786 0.0000 Be
0.8786 0.6214 0.0000 Be
0.6214 0.1214 0.0000 Be
0.1214 0.3786 0.0000 Be
0.1724 0.6724 0.5000 Rh
0.6724 0.8276 0.5000 Rh
0.8276 0.3276 0.5000 Rh
0.3276 0.1724 0.5000 Rh
0.0000 0.0000 0.0000 Ga
0.5000 0.5000 0.0000 Ga
```

Output
Electronic total energy, eV per atom: -5.634
Calculated formation energy, eV/atom: -0.597
V, Å³ per cell: 115.0
Symmetry: P4/mbm


Entry 2:
Material: BaTaTi2P
Method: DFT, PBE
State: optimized geometry

```
BaTaTi2P
1.0
-2.5416 -0.8709 -4.0016
5.0998 0.3295 -3.3108
0.6901 -4.7334 0.5919
P Ti Ba Ta
1 2 1 1
direct
0.5000 0.5000 0.5000 P
0.0000 0.0000 0.5000 Ti
0.5000 0.0000 0.0000 Ti
0.0000 0.5000 0.0000 Ba
0.0000 0.0000 0.0000 Ta
```

Output
Electronic total energy, eV per atom: -5.862
Calculated formation energy, eV/atom: 1.133
V, Å³ per cell: 141.5
Symmetry: P4/mmm


Entry 3:
Material: KCo5
Method: DFT, PBE
State: optimized geometry

```
KCo5
1.0
2.9400 0.0000 0.0000
0.0000 2.9400 0.0000
0.0000 0.0000 10.4043
K Co
1 5
direct
0.5000 0.5000 0.0000 K
0.0000 0.0000 0.7407 Co
0.0000 0.0000 0.2593 Co
0.5000 0.5000 0.6342 Co
0.5000 0.5000 0.3658 Co
0.0000 0.0000 0.5000 Co
```

Output
Electronic total energy, eV per atom: -5.630
Calculated formation energy, eV/atom: 0.474
V, Å³ per cell: 89.9
Symmetry: P4/mmm


Entry 4:
Material: ZnMo2Os
Method: DFT, PBE
State: optimized geometry

```
ZnMo2Os
1.0
-3.1272 -1.3793 -1.7774
0.3547 -3.3072 1.9422
-2.3221 1.4771 2.9392
Mo Os Zn
2 1 1
direct
0.0000 0.0000 0.0000 Mo
0.5000 0.5000 0.0000 Mo
0.5000 0.0000 0.5000 Os
0.0000 0.5000 0.5000 Zn
```

Output
Electronic total energy, eV per atom: -8.329
Calculated formation energy, eV/atom: 0.213
V, Å³ per cell: 59.7
Symmetry: P4/mmm